1.
VASP calculation (GGA-PBE) on Co2IrRu after structural relaxation.

```
Co2IrRu
1.0
0.000 2.938 2.938
2.938 0.000 2.938
2.938 2.938 0.000
Co Ir Ru
2 1 1
direct
0.250 0.250 0.250 Co
0.750 0.750 0.750 Co
0.000 0.000 0.000 Ir
0.500 0.500 0.500 Ru
```

As for the space group: Fm-3m, No. 225. The formation energy comes out at 0.277 eV/atom. The total energy is -7.8098 eV per atom.

---

2.
VASP calculation (GGA-PBE) on Co2IrRu after structural relaxation.

```
Co2IrRu
1.0
2.725 0.000 0.000
0.000 4.343 0.000
0.000 0.000 4.483
Co Ir Ru
2 1 1
direct
0.000 0.000 0.000 Co
0.500 0.000 0.500 Co
0.000 0.500 0.500 Ir
0.500 0.500 0.000 Ru
```

As for the space group: Pmmm, No. 47. The formation energy comes out at 0.309 eV/atom. The total energy is -7.7777 eV per atom.

---

3.
VASP calculation (GGA-PBE) on CoIr3Ru after structural relaxation.

```
CoIr3Ru
1.0
-2.201 5.192 3.360
2.201 -5.192 3.360
2.201 5.192 -3.360
Co Ir Ru
2 6 2
direct
0.427 0.177 0.250 Co
0.573 0.823 0.750 Co
0.026 0.129 0.897 Ir
0.207 0.457 0.750 Ir
0.269 0.871 0.397 Ir
0.731 0.129 0.603 Ir
0.793 0.543 0.250 Ir
0.974 0.871 0.103 Ir
0.000 0.500 0.500 Ru
0.500 0.500 0.000 Ru
```

The value obtained for the energy above the lowest structure with this stoichiometry is 486 meV per atom. As for the space group: Imma, No. 74. The formation energy comes out at 0.489 eV/atom. The total energy is -8.1039 eV per atom.

---

4.
VASP calculation (GGA-PBE) on CoIr3Ru2 after structural relaxation.

```
CoIr3Ru2
1.0
1.358 -6.993 0.000
1.358 6.993 0.000
0.000 0.000 8.714
Co Ir Ru
2 6 4
direct
0.055 0.945 0.750 Co
0.945 0.055 0.250 Co
0.164 0.836 0.504 Ir
0.164 0.836 0.996 Ir
0.390 0.610 0.750 Ir
0.610 0.390 0.250 Ir
0.836 0.164 0.004 Ir
0.836 0.164 0.496 Ir
0.279 0.721 0.250 Ru
0.500 0.500 0.000 Ru
0.500 0.500 0.500 Ru
0.721 0.279 0.750 Ru
```

The value obtained for the energy above the lowest structure with this stoichiometry is 19 meV per atom. As for the space group: Cmcm, No. 63. The formation energy comes out at 0.030 eV/atom. The total energy is -8.6764 eV per atom.

---

5.
VASP calculation (GGA-PBE) on CoIrRu4 after structural relaxation.

```
CoIrRu4
1.0
0.000 3.548 3.548
3.548 0.000 3.548
3.548 3.548 0.000
Co Ir Ru
1 1 4
direct
0.000 0.000 0.000 Co
0.750 0.750 0.750 Ir
0.375 0.375 0.375 Ru
0.375 0.375 0.875 Ru
0.375 0.875 0.375 Ru
0.875 0.375 0.375 Ru
```

The value obtained for the energy above the lowest structure with this stoichiometry is 689 meV per atom. As for the space group: F-43m, No. 216. The formation energy comes out at 0.708 eV/atom. The total energy is -8.1366 eV per atom.

---

6.
VASP calculation (GGA-PBE) on Co3Ir4Ru after structural relaxation.

```
Co3Ir4Ru
1.0
2.684 0.000 0.000
0.000 2.684 0.000
0.000 0.000 14.567
Co Ir Ru
3 4 1
direct
0.000 0.000 0.000 Co
0.000 0.000 0.244 Co
0.000 0.000 0.756 Co
0.500 0.500 0.122 Ir
0.500 0.500 0.368 Ir
0.500 0.500 0.632 Ir
0.500 0.500 0.878 Ir
0.000 0.000 0.500 Ru
```

As for the space group: P4/mmm, No. 123. The formation energy comes out at 0.028 eV/atom. The total energy is -8.2265 eV per atom.

---

7.
VASP calculation (GGA-PBE) on CoIr2Ru after structural relaxation.

```
CoIr2Ru
1.0
4.436 -1.345 0.000
4.436 1.345 0.000
-0.830 0.000 4.548
Co Ir Ru
1 2 1
direct
0.000 0.000 0.000 Co
0.252 0.252 0.754 Ir
0.748 0.748 0.246 Ir
0.500 0.500 0.500 Ru
```

As for the space group: C2/m, No. 12. The formation energy comes out at 0.032 eV/atom. The total energy is -8.4941 eV per atom.

---

8.
VASP calculation (GGA-PBE) on Co2IrRu after structural relaxation.

```
Co2IrRu
1.0
3.729 0.000 0.000
0.000 3.729 0.000
0.000 0.000 3.598
Co Ir Ru
2 1 1
direct
0.000 0.500 0.000 Co
0.500 0.000 0.000 Co
0.000 0.000 0.500 Ir
0.500 0.500 0.500 Ru
```

As for the space group: P4/mmm, No. 123. The formation energy comes out at 0.093 eV/atom. The total energy is -7.9937 eV per atom.

---

9.
VASP calculation (GGA-PBE) on CoIr4Ru2 after structural relaxation.

```
CoIr4Ru2
1.0
4.628 0.000 0.000
0.000 10.726 0.000
0.000 0.000 4.270
Co Ir Ru
2 8 4
direct
0.000 0.000 0.000 Co
0.500 0.500 0.000 Co
0.079 0.313 0.000 Ir
0.246 0.439 0.500 Ir
0.254 0.939 0.500 Ir
0.421 0.813 0.000 Ir
0.579 0.187 0.000 Ir
0.746 0.061 0.500 Ir
0.754 0.561 0.500 Ir
0.921 0.687 0.000 Ir
0.247 0.177 0.500 Ru
0.253 0.677 0.500 Ru
0.747 0.323 0.500 Ru
0.753 0.823 0.500 Ru
```

As for the space group: Pbam, No. 55. The formation energy comes out at 0.372 eV/atom. The total energy is -8.3566 eV per atom.

---

10.
VASP calculation (GGA-PBE) on CoIr6Ru5 after structural relaxation.

```
CoIr6Ru5
1.0
-1.912 3.823 5.744
1.912 -3.823 5.744
1.912 3.823 -5.744
Co Ir Ru
1 6 5
direct
0.000 0.000 0.000 Co
0.083 0.834 0.249 Ir
0.247 0.500 0.747 Ir
0.415 0.166 0.249 Ir
0.585 0.834 0.751 Ir
0.753 0.500 0.253 Ir
0.917 0.166 0.751 Ir
0.167 0.667 0.500 Ru
0.331 0.331 0.000 Ru
0.500 0.000 0.500 Ru
0.669 0.669 0.000 Ru
0.833 0.333 0.500 Ru
```

As for the space group: Immm, No. 71. The formation energy comes out at -0.006 eV/atom. The total energy is -8.8933 eV per atom.

---

11.
VASP calculation (GGA-PBE) on Co2Ir5Ru2 after structural relaxation.

```
Co2Ir5Ru2
1.0
-5.736 4.933 2.303
5.736 -4.933 2.303
5.736 4.933 -2.303
Co Ir Ru
4 10 4
direct
0.000 0.000 0.000 Co
0.000 0.500 0.500 Co
0.813 0.615 0.698 Co
0.918 0.115 0.302 Co
0.123 0.580 0.823 Ir
0.123 0.799 0.042 Ir
0.167 0.098 0.568 Ir
0.442 0.183 0.365 Ir
0.442 0.577 0.759 Ir
0.530 0.598 0.432 Ir
0.757 0.080 0.958 Ir
0.757 0.299 0.177 Ir
0.818 0.077 0.635 Ir
0.818 0.683 0.241 Ir
0.381 0.561 0.089 Ru
0.381 0.792 0.320 Ru
0.472 0.061 0.680 Ru
0.472 0.292 0.911 Ru
```

The value obtained for the energy above the lowest structure with this stoichiometry is 269 meV per atom. As for the space group: Ima2, No. 46. The formation energy comes out at 0.292 eV/atom. The total energy is -8.2713 eV per atom.

---

12.
VASP calculation (GGA-PBE) on Co2IrRu after structural relaxation.

```
Co2IrRu
1.0
2.665 0.000 0.000
0.000 3.675 0.000
0.000 0.000 5.163
Co Ir Ru
2 1 1
direct
0.000 0.000 0.000 Co
0.500 0.500 0.226 Co
0.000 0.000 0.487 Ir
0.500 0.500 0.745 Ru
```

As for the space group: Pmm2, No. 25. The formation energy comes out at 0.075 eV/atom. The total energy is -8.0123 eV per atom.

---

13.
VASP calculation (GGA-PBE) on Co2Ir3Ru after structural relaxation.

```
Co2Ir3Ru
1.0
4.815 -2.608 0.000
4.815 2.608 0.000
0.000 0.000 7.531
Co Ir Ru
4 6 2
direct
0.122 0.122 0.000 Co
0.122 0.122 0.500 Co
0.878 0.878 0.000 Co
0.878 0.878 0.500 Co
0.258 0.742 0.750 Ir
0.260 0.281 0.250 Ir
0.281 0.260 0.750 Ir
0.719 0.740 0.250 Ir
0.740 0.719 0.750 Ir
0.742 0.258 0.250 Ir
0.252 0.748 0.250 Ru
0.748 0.252 0.750 Ru
```

As for the space group: Cmcm, No. 63. The formation energy comes out at 0.581 eV/atom. The total energy is -7.7643 eV per atom.

---

14.
VASP calculation (GGA-PBE) on CoIr2Ru after structural relaxation.

```
CoIr2Ru
1.0
-2.679 2.679 5.407
2.679 -2.679 5.407
2.679 2.679 -5.407
Co Ir Ru
2 4 2
direct
0.000 0.000 0.000 Co
0.750 0.250 0.500 Co
0.108 0.625 0.983 Ir
0.375 0.358 0.483 Ir
0.642 0.125 0.017 Ir
0.875 0.892 0.517 Ir
0.250 0.750 0.500 Ru
0.500 0.500 0.000 Ru
```

As for the space group: I-42d, No. 122. The formation energy comes out at 1.048 eV/atom. The total energy is -7.4783 eV per atom.

---

15.
VASP calculation (GGA-PBE) on CoIr2Ru after structural relaxation.

```
CoIr2Ru
1.0
-1.881 1.881 3.804
1.881 -1.881 3.804
1.881 1.881 -3.804
Co Ir Ru
1 2 1
direct
0.000 0.000 0.000 Co
0.250 0.750 0.500 Ir
0.500 0.500 0.000 Ir
0.750 0.250 0.500 Ru
```

As for the space group: I-4m2, No. 119. The formation energy comes out at 0.035 eV/atom. The total energy is -8.4906 eV per atom.

---

16.
VASP calculation (GGA-PBE) on Co3IrRu after structural relaxation.

```
Co3IrRu
1.0
4.324 0.000 0.000
0.000 4.324 0.000
0.000 0.000 4.324
Co Ir Ru
3 1 1
direct
0.000 0.000 0.500 Co
0.000 0.500 0.000 Co
0.500 0.000 0.000 Co
0.500 0.500 0.500 Ir
0.000 0.000 0.000 Ru
```

The value obtained for the energy above the lowest structure with this stoichiometry is 64 meV per atom. As for the space group: Pm-3m, No. 221. The formation energy comes out at 1.751 eV/atom. The total energy is -6.1397 eV per atom.

---

17.
VASP calculation (GGA-PBE) on CoIr8Ru6 after structural relaxation.

```
CoIr8Ru6
1.0
9.823 0.000 0.000
-4.912 8.507 0.000
0.000 0.000 2.719
Co Ir Ru
1 8 6
direct
0.000 0.000 0.000 Co
0.071 0.795 0.250 Ir
0.205 0.276 0.250 Ir
0.276 0.071 0.750 Ir
0.333 0.667 0.748 Ir
0.667 0.333 0.252 Ir
0.724 0.929 0.250 Ir
0.795 0.724 0.750 Ir
0.929 0.205 0.750 Ir
0.091 0.470 0.251 Ru
0.380 0.909 0.251 Ru
0.470 0.380 0.749 Ru
0.530 0.620 0.251 Ru
0.620 0.091 0.749 Ru
0.909 0.530 0.749 Ru
```

As for the space group: P-3, No. 147. The formation energy comes out at 0.366 eV/atom. The total energy is -8.5436 eV per atom.

---

18.
VASP calculation (GGA-PBE) on Co2IrRu after structural relaxation.

```
Co2IrRu
1.0
1.363 -2.247 0.000
1.363 2.247 0.000
0.000 0.000 8.664
Co Ir Ru
2 1 1
direct
0.000 0.000 0.248 Co
0.000 0.000 0.752 Co
0.500 0.500 0.500 Ir
0.500 0.500 0.000 Ru
```

As for the space group: Cmmm, No. 65. The formation energy comes out at 0.323 eV/atom. The total energy is -7.7643 eV per atom.

---

19.
VASP calculation (GGA-PBE) on Co2Ir6Ru after structural relaxation.

```
Co2Ir6Ru
1.0
2.616 1.511 6.145
-2.616 1.511 6.145
0.000 -3.021 6.145
Co Ir Ru
2 6 1
direct
0.000 0.000 0.000 Co
0.128 0.128 0.128 Co
0.187 0.673 0.673 Ir
0.457 0.457 0.974 Ir
0.457 0.974 0.457 Ir
0.673 0.187 0.673 Ir
0.673 0.673 0.187 Ir
0.974 0.457 0.457 Ir
0.739 0.739 0.739 Ru
```

The value obtained for the energy above the lowest structure with this stoichiometry is 332 meV per atom. As for the space group: R3m, No. 160. The formation energy comes out at 0.570 eV/atom. The total energy is -7.9470 eV per atom.

---

20.
VASP calculation (GGA-PBE) on Co2Ir9Ru after structural relaxation.

```
Co2Ir9Ru
1.0
3.814 0.000 0.000
0.000 3.814 0.000
0.000 0.000 11.446
Co Ir Ru
2 9 1
direct
0.000 0.000 0.161 Co
0.000 0.000 0.839 Co
0.000 0.500 0.000 Ir
0.000 0.500 0.331 Ir
0.000 0.500 0.669 Ir
0.500 0.000 0.000 Ir
0.500 0.000 0.331 Ir
0.500 0.000 0.669 Ir
0.500 0.500 0.166 Ir
0.500 0.500 0.500 Ir
0.500 0.500 0.834 Ir
0.000 0.000 0.500 Ru
```

As for the space group: P4/mmm, No. 123. The formation energy comes out at 0.004 eV/atom. The total energy is -8.5992 eV per atom.

---

21.
VASP calculation (GGA-PBE) on Co2IrRu after structural relaxation.

```
Co2IrRu
1.0
1.328 0.767 8.397
-1.328 0.767 8.397
0.000 -1.534 8.397
Co Ir Ru
2 1 1
direct
0.249 0.249 0.249 Co
0.751 0.751 0.751 Co
0.000 0.000 0.000 Ir
0.500 0.500 0.500 Ru
```

As for the space group: R-3m, No. 166. The formation energy comes out at 0.141 eV/atom. The total energy is -7.9464 eV per atom.

---

22.
VASP calculation (GGA-PBE) on CoIr2Ru after structural relaxation.

```
CoIr2Ru
1.0
1.356 0.783 8.596
-1.356 0.783 8.596
0.000 -1.566 8.596
Co Ir Ru
1 2 1
direct
0.000 0.000 0.000 Co
0.252 0.252 0.252 Ir
0.748 0.748 0.748 Ir
0.500 0.500 0.500 Ru
```

As for the space group: R-3m, No. 166. The formation energy comes out at 0.063 eV/atom. The total energy is -8.4631 eV per atom.

---

23.
VASP calculation (GGA-PBE) on CoIr2Ru after structural relaxation.

```
CoIr2Ru
1.0
4.067 0.000 0.000
0.000 1.347 4.984
0.000 -1.347 4.984
Co Ir Ru
1 2 1
direct
0.000 0.000 0.000 Co
0.000 0.254 0.254 Ir
0.500 0.599 0.599 Ir
0.500 0.862 0.862 Ru
```

As for the space group: Amm2, No. 38. The formation energy comes out at 0.108 eV/atom. The total energy is -8.4181 eV per atom.

---

24.
VASP calculation (GGA-PBE) on CoIr3Ru after structural relaxation.

```
CoIr3Ru
1.0
4.374 0.000 0.000
0.000 4.374 0.000
0.000 0.000 4.374
Co Ir Ru
1 3 1
direct
0.000 0.000 0.000 Co
0.000 0.000 0.500 Ir
0.000 0.500 0.000 Ir
0.500 0.000 0.000 Ir
0.500 0.500 0.500 Ru
```

The value obtained for the energy above the lowest structure with this stoichiometry is 1694 meV per atom. As for the space group: Pm-3m, No. 221. The formation energy comes out at 1.698 eV/atom. The total energy is -6.8951 eV per atom.